Material: FeCu2Pd
Method: DFT, PBE
State: relaxed

## Properties
Its magnetic moment is 3.4 Bohr magnetons per cell. The calculation puts the formation energy at 5.9 kJ/mol of atoms. Its density is 9.2 Mg/m³.

a b c (Å): 3.7345 3.7345 3.7435
angles (deg): 90.00 90.00 90.00
Closest atoms and distances in Å follow each position.
Sites, in units of the cell vectors:
Fe (0.0000, 0.0000, 0.0000)  4 Pd 2.64, 8 Cu 2.64
Cu (0.0000, 0.5000, 0.5000)  4 Cu 2.64, 4 Pd 2.64, 4 Fe 2.64
Cu (0.5000, 0.0000, 0.5000)  4 Cu 2.64, 4 Pd 2.64, 4 Fe 2.64
Pd (0.5000, 0.5000, 0.0000)  4 Fe 2.64, 8 Cu 2.64


Material: AgPdS
Method: DFT, PBE
State: relaxed

## Properties
Its magnetic moment is 0.0 Bohr magnetons per cell. As for the formation energy from raw total energies: -21 kJ/mol of formula units. Its density is 8.0 Mg/m³.

a b c (Å): 6.0716 3.3048 10.1899
angles (deg): 90.00 90.00 90.00
Closest atoms and distances in Å follow each position.
Sites, in units of the cell vectors:
Ag (0.1827, 0.2500, 0.0547)  4 S 2.79-3.06, 2 Ag 2.98, 5 Pd 2.99-3.11
Ag (0.3173, 0.7500, 0.5547)  4 S 2.79-3.06, 2 Ag 2.98, 5 Pd 2.99-3.11
Ag (0.6827, 0.2500, 0.4453)  4 S 2.79-3.06, 2 Ag 2.98, 5 Pd 2.99-3.11
Ag (0.8173, 0.7500, 0.9453)  4 S 2.79-3.06, 2 Ag 2.98, 5 Pd 2.99-3.11
Pd (0.0835, 0.2500, 0.7556)  4 S 2.48-2.49
Pd (0.4165, 0.7500, 0.2556)  4 S 2.48-2.49
Pd (0.5835, 0.2500, 0.7444)  4 S 2.48-2.49
Pd (0.9165, 0.7500, 0.2444)  4 S 2.48-2.49
S (0.1589, 0.2500, 0.3550)  4 Pd 2.48-2.49
S (0.3411, 0.7500, 0.8550)  4 Pd 2.48-2.49
S (0.6589, 0.2500, 0.1450)  4 Pd 2.48-2.49
S (0.8411, 0.7500, 0.6450)  4 Pd 2.48-2.49


Material: La2AsI2
Method: DFT, PBE
State: relaxed

## Properties
Its magnetic moment is 0.0 Bohr magnetons per cell. As for the formation energy from raw total energies: -764 kJ/mol of formula units. Its density is 5.2 Mg/m³.

a b c (Å): 4.4139 4.4139 11.4979
angles (deg): 90.00 90.00 120.00
Closest atoms and distances in Å follow each position.
Sites, in units of the cell vectors:
La (0.3333, 0.6667, 0.3557)  3 As 3.04, 3 I 3.30
La (0.6667, 0.3333, 0.6443)  3 As 3.04, 3 I 3.30
As (0.0000, 0.0000, 0.5000)  6 La 3.04
I (0.3333, 0.6667, 0.8266)  3 La 3.30
I (0.6667, 0.3333, 0.1734)  3 La 3.30


Material: Ac2Ce3S8
Method: DFT, PBE
State: relaxed

## Properties
Its magnetic moment is 2.0 Bohr magnetons per cell. As for the formation energy from raw total energies: -2460 kJ/mol of formula units. Its density is 5.5 Mg/m³.

a b c (Å): 8.6659 8.6659 4.8271
angles (deg): 90.00 90.00 110.10
Closest atoms and distances in Å follow each position.
Sites, in units of the cell vectors:
Ac (0.2337, 0.7663, 0.0000)  8 S 2.91-3.26
Ac (0.7663, 0.2337, 0.0000)  8 S 2.91-3.26
Ce (0.2219, 0.2219, 0.5000)  6 S 2.78-2.96
Ce (0.5000, 0.5000, 0.0000)  8 S 2.89
Ce (0.7781, 0.7781, 0.5000)  6 S 2.78-2.96
S (0.1188, 0.8812, 0.5000)  2 Ce 2.78, 2 Ac 2.91
S (0.1453, 0.3794, 0.0000)  3 Ce 2.89-2.96, 2 Ac 3.09-3.17
S (0.3794, 0.1453, 0.0000)  3 Ce 2.89-2.96, 2 Ac 3.09-3.17
S (0.3878, 0.6122, 0.5000)  4 Ce 2.89-3.19, 1 S 3.19
S (0.6122, 0.3878, 0.5000)  4 Ce 2.89-3.19, 1 S 3.19
S (0.6206, 0.8547, 0.0000)  3 Ce 2.89-2.96, 2 Ac 3.09-3.17
S (0.8547, 0.6206, 0.0000)  3 Ce 2.89-2.96, 2 Ac 3.09-3.17
S (0.8812, 0.1188, 0.5000)  2 Ce 2.78, 2 Ac 2.91


Material: Sc4Mn2Ge5
Method: DFT, PBE
State: relaxed

## Properties
Its magnetic moment is 8.6 Bohr magnetons per cell. The calculation puts the formation energy at -59.3 kJ/mol of atoms. Its density is 5.7 Mg/m³.

a b c (Å): 9.9011 9.9011 9.9011
angles (deg): 130.81 59.49 148.67
Closest atoms and distances in Å follow each position.
Sites, in units of the cell vectors:
Sc (0.0576, 0.7241, 0.7818)  7 Ge 2.69-2.92
Sc (0.1460, 0.1078, 0.2538)  3 Ge 2.64-2.91
Sc (0.3540, 0.6078, 0.9619)  3 Ge 2.64-2.91
Sc (0.4424, 0.2241, 0.6665)  7 Ge 2.69-2.92
Sc (0.5576, 0.7759, 0.3335)  7 Ge 2.69-2.92
Sc (0.6460, 0.3922, 0.0381)  3 Ge 2.64-2.91
Sc (0.8540, 0.8922, 0.7462)  3 Ge 2.64-2.91
Sc (0.9424, 0.2759, 0.2182)  7 Ge 2.69-2.92
Mn (0.0501, 0.7500, 0.3001)  4 Ge 2.49-2.61, 2 Mn 2.67
Mn (0.4499, 0.7500, 0.6999)  4 Ge 2.49-2.61, 2 Mn 2.67
Mn (0.5501, 0.2500, 0.3001)  4 Ge 2.49-2.61, 2 Mn 2.67
Mn (0.9499, 0.2500, 0.6999)  4 Ge 2.49-2.61, 2 Mn 2.67
Ge (0.0870, 0.4036, 0.4906)  2 Mn 2.49, 3 Sc 2.64-2.70
Ge (0.2119, 0.7990, 0.0109)  4 Mn 2.61-2.81, 3 Sc 2.72-2.91
Ge (0.2500, 0.2500, 0.0000)  2 Ge 2.67, 8 Sc 2.82-2.98
Ge (0.2881, 0.2990, 0.5872)  4 Mn 2.61-2.81, 3 Sc 2.72-2.91
Ge (0.4130, 0.9036, 0.3166)  2 Mn 2.49, 3 Sc 2.64-2.70
Ge (0.5870, 0.0964, 0.6834)  2 Mn 2.49, 3 Sc 2.64-2.70
Ge (0.7119, 0.7010, 0.4128)  4 Mn 2.61-2.81, 3 Sc 2.72-2.91
Ge (0.7500, 0.7500, 0.0000)  2 Ge 2.67, 8 Sc 2.82-2.98
Ge (0.7881, 0.2010, 0.9891)  4 Mn 2.61-2.81, 3 Sc 2.72-2.91
Ge (0.9130, 0.5964, 0.5094)  2 Mn 2.49, 3 Sc 2.64-2.70


Material: PmSmAlSi
Method: DFT, PBE
State: relaxed

## Properties
Its magnetic moment is 0.0 Bohr magnetons per cell. As for the formation energy from raw total energies: -134 kJ/mol of formula units. Its density is 6.0 Mg/m³.

a b c (Å): 5.1658 5.1658 5.1658
angles (deg): 60.00 60.00 60.00
Closest atoms and distances in Å follow each position.
Sites, in units of the cell vectors:
Pm (0.0000, 0.0000, 0.0000)  4 Si 3.16, 4 Al 3.16
Sm (0.5000, 0.5000, 0.5000)  4 Al 3.16, 4 Si 3.16
Al (0.2500, 0.2500, 0.2500)  4 Pm 3.16, 4 Sm 3.16
Si (0.7500, 0.7500, 0.7500)  4 Sm 3.16, 4 Pm 3.16